VASP calculation (GGA-PBE) on a relaxed structure of AcPr6Tl4.

a = 8.1453 Å, b = 8.1453 Å, c = 12.1305 Å
α = 90.00°, β = 90.00°, γ = 90.00°
Closest atoms and distances in Å follow each position.
Space group I-42m (No. 121)
Symmetry-distinct sites (fractional):
Ac: 0.0000 0.0000 0.0000 (multiplicity 2)  4 Tl 3.96, 12 Pr 4.07-4.43
Pr: 0.0000 0.5000 0.0000 (multiplicity 4)  4 Tl 3.16
Pr: 0.1892 0.1892 0.7154 (multiplicity 8)  4 Tl 3.12-3.45
Tl: 0.1635 0.1635 0.4317 (multiplicity 8)  6 Pr 3.12-3.45, 2 Tl 3.14

Output
ΔH_f (0 K)   -0.1166 eV per atom
D(E_F)   26.5 states/eV/cell
Total moment   0.000 μB/atom
Volume   36.58 Å³/atom
Raw total energy   -3.958 eV per atom